The following is a PBEsol calculation of Li2Tl3 after structural relaxation, from the Alexandria database.

- offset from the most stable computed form (meV per atom) = 0.0
- ΔE_f (eV/atom) = -0.149
- total DFT energy (no corrections) (eV per atom) = -2.5141

a b c (Å): 4.7563 4.7563 5.7217
angles (deg): 90.00 90.00 120.00
With the nearest neighbours (Å) after each atom.
Space group P-3m1 (No. 164)
Symmetry-distinct sites (fractional):
Li 0.3333 0.6667 0.3576 x2  8 Tl 2.86-3.01, 3 Li 3.19
Tl 0.0000 0.0000 0.5000 x1  6 Li 2.86
Tl 0.3333 0.6667 0.8580 x2  5 Li 2.86-3.01, 3 Tl 3.19

---

The following is a PBEsol calculation of LiTcIr2 after structural relaxation, from the Alexandria database.

- offset from the most stable computed form (meV per atom) = 206.8
- ΔE_f (eV/atom) = 0.212
- total DFT energy (no corrections) (eV per atom) = -8.0079

a b c (Å): 2.7413 4.3874 4.4991
angles (deg): 90.00 90.00 90.00
With the nearest neighbours (Å) after each atom.
Space group Pmmm (No. 47)
Symmetry-distinct sites (fractional):
Li 0.0000 0.0000 0.0000 x1  4 Ir 2.59, 4 Tc 2.63, 2 Li 2.74
Tc 0.5000 0.0000 0.5000 x1  4 Ir 2.59, 4 Li 2.63, 2 Tc 2.74
Ir 0.0000 0.5000 0.5000 x1  4 Tc 2.59, 6 Ir 2.63-2.74
Ir 0.5000 0.5000 0.0000 x1  4 Li 2.59, 6 Ir 2.63-2.74

---

Question: What is the total DFT energy (no corrections) in the first record?
Answer: -2.5141 eV per atom

---

Question: total DFT energy (no corrections) of number 1 (Li2Tl3)?
Answer: -2.5141 eV per atom

---

Question: Number 2 is which compound?
Answer: LiTcIr2